# 1
The following is a DFT calculation (PBE) of a geometry-optimized AlTlCo2 structure.

Cell lengths 8.579, 8.579, 8.579 Å; angles 20.02, 20.02, 20.02 degrees
Sites, in units of the cell vectors:
1 Co 0.263 0.263 0.263
2 Co 0.997 0.997 0.997
3 Tl 0.505 0.505 0.505
4 Al 0.736 0.736 0.736

## Properties
The energy above the lowest structure with this stoichiometry is 0.320 eV per atom. The value obtained for the formation energy is 397 meV/atom. Its space-group type is R3m (160).

=====

# 2
The following is a DFT calculation (PBE) of a geometry-optimized Li2NiAu2 structure.

Cell lengths 6.888, 6.888, 2.985 Å; angles 90.00, 90.00, 90.00 degrees
Sites, in units of the cell vectors:
1 Ni 0.500 0.500 0.000
2 Ni 0.000 0.000 0.000
3 Li 0.624 0.124 0.000
4 Li 0.124 0.376 0.000
5 Li 0.376 0.876 0.000
6 Li 0.876 0.624 0.000
7 Au 0.322 0.178 0.500
8 Au 0.178 0.678 0.500
9 Au 0.822 0.322 0.500
10 Au 0.678 0.822 0.500

## Properties
The energy above the lowest structure with this stoichiometry is 0.030 eV per atom. The value obtained for the formation energy is -160 meV/atom. Its space-group type is P4/mbm (127).

=====

# 3
The following is a DFT calculation (PBE) of a geometry-optimized CaSmNi structure.

Cell lengths 3.491, 3.491, 6.957 Å; angles 104.53, 104.53, 90.00 degrees
Sites, in units of the cell vectors:
1 Sm 0.289 0.289 0.578
2 Ni 0.677 0.677 0.354
3 Ca 0.034 0.034 0.068

## Properties
The energy above the lowest structure with this stoichiometry is 0.108 eV per atom. The value obtained for the formation energy is -127 meV/atom. Its space-group type is I4mm (107).

=====

# 4
The following is a DFT calculation (PBE) of a geometry-optimized CoPbSe2 structure.

Cell lengths 3.172, 3.172, 8.043 Å; angles 90.00, 90.00, 90.00 degrees
Sites, in units of the cell vectors:
1 Se 0.000 0.000 0.077
2 Se 0.000 0.000 0.423
3 Co 0.500 0.500 0.250
4 Pb 0.500 0.500 0.750

## Properties
Its uncorrected formation energy is 0.15 eV/atom. Its space-group type is P4/mmm (123).

=====

# 5
The following is a DFT calculation (PBE) of a geometry-optimized RbPb3W structure.

Cell lengths 5.986, 5.986, 5.986 Å; angles 90.00, 90.00, 90.00 degrees
Sites, in units of the cell vectors:
1 Rb 0.000 0.000 0.000
2 Pb 0.000 0.000 0.500
3 Pb 0.500 0.000 0.000
4 Pb 0.000 0.500 0.000
5 W 0.500 0.500 0.500

## Properties
The energy above the lowest structure with this stoichiometry is 1.913 eV per atom. The value obtained for the formation energy is 2300 meV/atom. Its space-group type is Pm-3m (221).

=====

# 6
The following is a DFT calculation (PBE) of a geometry-optimized NaPdI5 structure.

Cell lengths 9.632, 9.632, 10.666 Å; angles 56.37, 56.37, 48.82 degrees
Sites, in units of the cell vectors:
1 I 0.379 0.876 0.917
2 I 0.117 0.883 0.750
3 I 0.876 0.379 0.417
4 I 0.621 0.124 0.083
5 I 0.375 0.892 0.320
6 I 0.883 0.117 0.250
7 I 0.625 0.108 0.680
8 I 0.892 0.375 0.820
9 I 0.108 0.625 0.180
10 I 0.124 0.621 0.583
11 Pd 0.000 0.000 0.000
12 Pd 0.000 0.000 0.500
13 Na 0.536 0.464 0.750
14 Na 0.464 0.536 0.250

## Properties
Its uncorrected formation energy is -0.36 eV/atom. Its space-group type is C2/c (15).

=====

# 7
The following is a DFT calculation (PBE) of a geometry-optimized Tl2In3Hg6 structure.

Cell lengths 4.430, 4.430, 19.535 Å; angles 83.49, 83.49, 60.00 degrees
Sites, in units of the cell vectors:
1 Tl 0.452 0.452 0.643
2 Tl 0.548 0.548 0.357
3 Hg 0.638 0.638 0.086
4 Hg 0.086 0.086 0.742
5 Hg 0.914 0.914 0.258
6 Hg 0.819 0.819 0.544
7 Hg 0.362 0.362 0.914
8 Hg 0.181 0.181 0.456
9 In 0.724 0.724 0.828
10 In 0.000 0.000 0.000
11 In 0.276 0.276 0.172

## Properties
The value obtained for the formation energy is 17 meV/atom. Its space-group type is R-3m (166).

=====

# 8
The following is a DFT calculation (PBE) of a geometry-optimized PrNiIr structure.

Cell lengths 5.087, 5.659, 4.679 Å; angles 90.00, 122.93, 90.00 degrees
Sites, in units of the cell vectors:
1 Ir 0.000 0.500 0.000
2 Ir 0.000 0.000 0.000
3 Pr 0.656 0.250 0.312
4 Pr 0.344 0.750 0.688
5 Ni 0.284 0.250 0.568
6 Ni 0.716 0.750 0.432

## Properties
The value obtained for the formation energy is -188 meV/atom. Its space-group type is Cmcm (63).

=====

# 9
The following is a DFT calculation (PBE) of a geometry-optimized Na2Hg5H2 structure.

Cell lengths 6.560, 6.599, 9.916 Å; angles 109.44, 109.31, 90.00 degrees
Sites, in units of the cell vectors:
1 Hg 0.149 0.130 0.761
2 Hg 0.149 0.630 0.761
3 Hg 0.388 0.870 0.239
4 Hg 0.768 0.253 0.500
5 Hg 0.388 0.370 0.239
6 Hg 0.888 0.369 0.239
7 Hg 0.888 0.869 0.239
8 Hg 0.649 0.131 0.761
9 Hg 0.268 0.747 0.500
10 Hg 0.649 0.631 0.761
11 Na 0.018 0.000 0.000
12 Na 0.268 0.248 0.500
13 Na 0.768 0.752 0.500
14 Na 0.518 0.500 0.000
15 H 0.267 0.749 0.998
16 H 0.767 0.749 0.998
17 H 0.769 0.251 0.002
18 H 0.269 0.251 0.002

## Properties
Its uncorrected energy is -1.213 eV/atom. Its space-group type is Imma (74).

=====

# 10
The following is a DFT calculation (PBE) of a geometry-optimized NaCaNi2Au structure.

Cell lengths 4.862, 4.974, 4.862 Å; angles 90.00, 90.00, 90.00 degrees
Sites, in units of the cell vectors:
1 Ni 0.500 0.000 0.000
2 Ni 0.000 0.000 0.500
3 Au 0.000 0.000 0.000
4 Na 0.000 0.500 0.000
5 Ca 0.500 0.500 0.500

## Properties
The value obtained for the formation energy is 420 meV/atom. Its space-group type is P4/mmm (123).

=====

# 11
The following is a DFT calculation (PBE) of a geometry-optimized GeAsOsPb2 structure.

Cell lengths 5.437, 4.912, 5.437 Å; angles 90.00, 90.00, 90.00 degrees
Sites, in units of the cell vectors:
1 Pb 0.500 0.000 0.000
2 Pb 0.000 0.000 0.500
3 Os 0.500 0.500 0.500
4 Ge 0.000 0.500 0.000
5 As 0.000 0.000 0.000

## Properties
The value obtained for the formation energy is 1535 meV/atom. Its space-group type is P4/mmm (123).

=====

# 12
The following is a DFT calculation (PBE) of a geometry-optimized KRbNa2Cd structure.

Cell lengths 6.232, 6.232, 6.945 Å; angles 90.00, 90.00, 90.00 degrees
Sites, in units of the cell vectors:
1 K 0.500 0.500 0.500
2 Cd 0.000 0.000 0.000
3 Na 0.000 0.500 0.000
4 Na 0.500 0.000 0.000
5 Rb 0.000 0.000 0.500

## Properties
The energy above the lowest structure with this stoichiometry is 0.020 eV per atom. The value obtained for the formation energy is 67 meV/atom. Its space-group type is P4/mmm (123).

=====

# 13
The following is a DFT calculation (PBE) of a geometry-optimized AlTc2Sb structure.

Cell lengths 8.752, 8.752, 8.752 Å; angles 19.99, 19.99, 19.99 degrees
Sites, in units of the cell vectors:
1 Tc 0.250 0.250 0.250
2 Tc 0.995 0.995 0.995
3 Sb 0.745 0.745 0.745
4 Al 0.509 0.509 0.509

## Properties
Its uncorrected formation energy is 0.17 eV/atom. The energy above the lowest structure with this stoichiometry is 0.242 eV per atom. Its space-group type is R3m (160).

=====

# 14
The following is a DFT calculation (PBE) of a geometry-optimized KSiAu3 structure.

Cell lengths 6.196, 11.748, 6.297 Å; angles 90.00, 90.00, 90.00 degrees
Sites, in units of the cell vectors:
1 Si 0.713 0.750 0.792
2 Si 0.287 0.250 0.208
3 Si 0.787 0.250 0.292
4 Si 0.213 0.750 0.708
5 Au 0.512 0.884 0.544
6 Au 0.846 0.250 0.680
7 Au 0.488 0.384 0.456
8 Au 0.988 0.384 0.044
9 Au 0.012 0.884 0.956
10 Au 0.512 0.616 0.544
11 Au 0.012 0.616 0.956
12 Au 0.154 0.750 0.320
13 Au 0.988 0.116 0.044
14 Au 0.488 0.116 0.456
15 Au 0.346 0.250 0.820
16 Au 0.654 0.750 0.180
17 K 0.000 0.000 0.500
18 K 0.500 0.500 0.000
19 K 0.500 0.000 0.000
20 K 0.000 0.500 0.500

## Properties
Its uncorrected formation energy is -0.05 eV/atom. Its space-group type is Pnma (62).

=====

# 15
The following is a DFT calculation (PBE) of a geometry-optimized MnInW2 structure.

Cell lengths 4.385, 2.772, 5.563 Å; angles 77.78, 90.00, 90.00 degrees
Sites, in units of the cell vectors:
1 Mn 0.500 0.743 0.768
2 W 0.500 0.209 0.228
3 W 0.000 0.997 0.996
4 In 0.000 0.551 0.507

## Properties
The value obtained for the formation energy is 417 meV/atom. Its space-group type is Pm (6).

=====

# 16
The following is a DFT calculation (PBE) of a geometry-optimized Mg2TeS structure.

Cell lengths 4.299, 4.299, 7.513 Å; angles 73.38, 73.38, 60.00 degrees
Sites, in units of the cell vectors:
1 Mg 0.351 0.351 0.946
2 Mg 0.871 0.871 0.387
3 S 0.987 0.987 0.040
4 Te 0.483 0.483 0.550

## Properties
Its uncorrected formation energy is -1.08 eV/atom. The energy above the lowest structure with this stoichiometry is 0.039 eV per atom. Its space-group type is R3m (160).

=====

# 17
The following is a DFT calculation (PBE) of a geometry-optimized Ba3AlTl2 structure.

Cell lengths 10.949, 11.722, 8.961 Å; angles 90.00, 125.32, 90.00 degrees
Sites, in units of the cell vectors:
1 Ba 0.173 0.336 0.822
2 Ba 0.755 0.459 0.548
3 Ba 0.673 0.164 0.322
4 Ba 0.245 0.541 0.452
5 Ba 0.327 0.836 0.678
6 Ba 0.881 0.871 0.649
7 Ba 0.745 0.959 0.952
8 Ba 0.119 0.129 0.351
9 Ba 0.255 0.041 0.048
10 Ba 0.381 0.629 0.149
11 Ba 0.827 0.664 0.178
12 Ba 0.619 0.371 0.851
13 Al 0.010 0.387 0.063
14 Al 0.510 0.113 0.563
15 Al 0.990 0.613 0.937
16 Al 0.490 0.887 0.437
17 Tl 0.919 0.373 0.323
18 Tl 0.581 0.873 0.177
19 Tl 0.625 0.683 0.685
20 Tl 0.375 0.317 0.315
21 Tl 0.125 0.817 0.185
22 Tl 0.419 0.127 0.823
23 Tl 0.081 0.627 0.677
24 Tl 0.875 0.183 0.815

## Properties
The value obtained for the formation energy is -262 meV/atom. Its space-group type is P2_1/c (14).

=====

# 18
The following is a DFT calculation (PBE) of a geometry-optimized Ce2CoCu3Ge4 structure.

Cell lengths 4.201, 4.201, 9.826 Å; angles 90.00, 90.00, 90.00 degrees
Sites, in units of the cell vectors:
1 Cu 0.000 0.000 0.500
2 Cu 0.500 0.000 0.868
3 Cu 0.000 0.500 0.132
4 Ge 0.500 0.000 0.625
5 Ge 0.000 0.500 0.375
6 Ge 0.000 0.000 0.000
7 Ge 0.500 0.500 0.000
8 Ce 0.500 0.000 0.259
9 Ce 0.000 0.500 0.741
10 Co 0.500 0.500 0.500

## Properties
The value obtained for the formation energy is -478 meV/atom. Its space-group type is P-4m2 (115).

=====

# 19
The following is a DFT calculation (PBE) of a geometry-optimized Tm3Cu2Ag3 structure.

Cell lengths 3.635, 7.251, 7.251 Å; angles 120.00, 90.00, 90.00 degrees
Sites, in units of the cell vectors:
1 Tm 0.500 0.597 0.000
2 Tm 0.500 0.403 0.403
3 Tm 0.500 0.000 0.597
4 Ag 0.000 0.238 0.000
5 Ag 0.000 0.000 0.238
6 Ag 0.000 0.762 0.762
7 Cu 0.000 0.667 0.333
8 Cu 0.000 0.333 0.667

## Properties
The value obtained for the formation energy is -287 meV/atom. Its space-group type is P-62m (189).

=====

# 20
The following is a DFT calculation (PBE) of a geometry-optimized CsTiAsO5 structure.

Cell lengths 6.121, 6.121, 7.401 Å; angles 105.02, 105.02, 105.38 degrees
Sites, in units of the cell vectors:
1 O 0.795 0.598 0.397
2 O 0.205 0.402 0.603
3 O 0.268 0.886 0.607
4 O 0.886 0.268 0.107
5 O 0.114 0.732 0.893
6 O 0.402 0.205 0.103
7 O 0.732 0.114 0.393
8 O 0.598 0.795 0.897
9 O 0.957 0.043 0.750
10 O 0.043 0.957 0.250
11 Cs 0.339 0.661 0.250
12 Cs 0.661 0.339 0.750
13 As 0.702 0.298 0.250
14 As 0.298 0.702 0.750
15 Ti 0.000 0.000 0.500
16 Ti 0.000 0.000 0.000

## Properties
Its uncorrected formation energy is -1.92 eV/atom. The energy above the lowest structure with this stoichiometry is 0.188 eV per atom. Its space-group type is C2/c (15).

=====

# 21
The following is a DFT calculation (PBE) of a geometry-optimized SiTcIrBr2 structure.

Cell lengths 4.927, 4.829, 4.927 Å; angles 90.00, 90.00, 90.00 degrees
Sites, in units of the cell vectors:
1 Br 0.500 0.000 0.000
2 Br 0.000 0.000 0.500
3 Tc 0.000 0.000 0.000
4 Ir 0.000 0.500 0.000
5 Si 0.500 0.500 0.500

## Properties
Its uncorrected formation energy is 1.17 eV/atom. Its space-group type is P4/mmm (123).

=====

# 22
The following is a DFT calculation (PBE) of a geometry-optimized Tb6SmSc3 structure.

Cell lengths 9.634, 9.634, 6.730 Å; angles 44.29, 44.29, 60.00 degrees
Sites, in units of the cell vectors:
1 Tb 0.400 0.736 0.800
2 Tb 0.560 0.240 0.300
3 Tb 0.240 0.900 0.300
4 Tb 0.736 0.065 0.800
5 Tb 0.065 0.400 0.800
6 Tb 0.900 0.560 0.300
7 Sc 0.640 0.640 0.080
8 Sc 0.400 0.400 0.800
9 Sc 0.160 0.160 0.520
10 Sm 0.900 0.900 0.300

## Properties
The energy above the lowest structure with this stoichiometry is 0.020 eV per atom. The value obtained for the formation energy is 186 meV/atom. Its space-group type is R32 (155).

=====

# 23
The following is a DFT calculation (PBE) of a geometry-optimized VGa2Os structure.

Cell lengths 4.323, 4.323, 4.323 Å; angles 60.00, 60.00, 60.00 degrees
Sites, in units of the cell vectors:
1 Ga 0.750 0.750 0.750
2 Ga 0.250 0.250 0.250
3 Os 0.500 0.500 0.500
4 V 0.000 0.000 0.000

## Properties
The energy above the lowest structure with this stoichiometry is 0.000 eV per atom. The value obtained for the formation energy is -49 meV/atom. Its space-group type is Fm-3m (225).

=====

# 24
The following is a DFT calculation (PBE) of a geometry-optimized SmHoTe2 structure.

Cell lengths 4.256, 4.256, 8.041 Å; angles 74.65, 74.65, 60.00 degrees
Sites, in units of the cell vectors:
1 Te 0.253 0.253 0.240
2 Te 0.080 0.080 0.761
3 Sm 0.496 0.496 0.511
4 Ho 0.670 0.670 0.989

## Properties
Its uncorrected formation energy is -1.35 eV/atom. The energy above the lowest structure with this stoichiometry is 0.000 eV per atom. Its space-group type is R3m (160).